# Ce2AlCu (PBE, optimized geometry)
# * energy of formation from the pure elements: 239 meV per atom
data_Ce2AlCu
_chemical_formula_sum 'Ce6 Al3 Cu3'
_symmetry_space_group_name_H-M 'R -3 m'
_symmetry_Int_Tables_number 166
_symmetry_space_group_name_Hall '-R 3 2"'
_cell_length_a 2.9987
_cell_length_b 2.9987
_cell_length_c 33.3592
_cell_angle_alpha 90.00
_cell_angle_beta 90.00
_cell_angle_gamma 120.00
loop_
_atom_site_label
_atom_site_type_symbol
_atom_site_fract_x
_atom_site_fract_y
_atom_site_fract_z
Ce1 Ce 0.0000 0.0000 0.0926
Al1 Al 0.0000 0.0000 0.0000
Cu1 Cu 0.0000 0.0000 0.5000